Entry 1:
## Pr4Dy2ErTm2 (GGA-PBE)

Data for a relaxed structure of Pr4Dy2ErTm2.

a b c (Å): 5.097 8.074 8.041
angles (deg): 107.49 90.00 108.40
Atoms (fractional coordinates):
1 Dy 0.888 0.777 0.329
2 Er 0.000 0.000 0.000
3 Dy 0.112 0.223 0.671
4 Tm 0.667 0.335 0.000
5 Pr 0.777 0.554 0.670
6 Tm 0.333 0.665 0.000
7 Pr 0.223 0.446 0.330
8 Pr 0.553 0.107 0.330
9 Pr 0.447 0.893 0.670

Values from the calculation:
Space-group type ... C2/m, No. 12
Energy of formation ... 0.0265 eV/atom
DOS(E_F) ... 14.21 states/eV/cell
Electronic total energy ... -4.621 eV/atom



Entry 2:
## TlGaAu2 (GGA-PBE)

Data for a relaxed structure of TlGaAu2.

a b c (Å): 4.065 6.016 7.667
angles (deg): 112.61 90.00 90.00
Atoms (fractional coordinates):
1 Au 0.250 0.796 0.670
2 Au 0.750 0.204 0.330
3 Au 0.250 0.837 0.274
4 Tl 0.750 0.716 0.939
5 Tl 0.250 0.284 0.061
6 Ga 0.750 0.673 0.417
7 Ga 0.250 0.327 0.583
8 Au 0.750 0.163 0.726

Values from the calculation:
Space-group type ... P2_1/m, No. 11
Energy of formation ... -0.1251 eV/atom
DOS(E_F) ... 2.65 states/eV/cell
Electronic total energy ... -3.112 eV/atom